Entry 1:
The following is a DFT calculation (PBE) of SbIrSCl2 after structural relaxation.

Computed properties:
As for the density of states at the Fermi level: 1.00 states/eV per atom. The total magnetization comes out at 0.00 μB per cell. The uncorrected formation energy comes out at 709 meV/atom.

```
SbIrSCl2
1.0
-2.148 1.226 4.376
-3.943 -1.200 -1.599
0.744 -4.679 1.677
Cl Sb S Ir
2 1 1 1
Cartesian
0.372 -2.340 0.838 Cl
-1.074 0.613 2.188 Cl
-2.673 -2.327 2.227 Sb
0.000 0.000 0.000 S
-1.971 -0.600 -0.800 Ir
```

***

Entry 2:
The following is a DFT calculation (PBE) of Mn2HPt after structural relaxation.

Computed properties:
For the total energy, the calculation gives -6.1557 eV/atom. As for the density of states at the Fermi level: 2.30 states/eV per atom. The total magnetization comes out at 0.00 μB per cell.

```
Mn2HPt
1.0
1.497 -2.051 3.106
-1.946 -0.031 3.508
-1.817 -3.349 1.256
H Pt Mn
1 1 2
Cartesian
0.000 0.000 0.000 H
-1.133 -2.716 3.935 Pt
-1.699 -4.073 5.903 Mn
-0.566 -1.358 1.968 Mn
```

***

Entry 3:
The following is a DFT calculation (PBE) of SrFe2Br after structural relaxation.

Computed properties:
As for the density of states at the Fermi level: 1.37 states/eV per atom. The total magnetization comes out at 6.10 μB per cell. The uncorrected formation energy comes out at 786 meV/atom.

```
SrFe2Br
1.0
-7.903 4.458 -1.716
-9.019 1.222 -1.564
-8.622 3.035 1.317
Fe Br Sr
2 1 1
Cartesian
-0.301 0.103 -0.023 Fe
-12.471 4.255 -0.959 Fe
-19.157 6.536 -1.473 Br
-6.386 2.179 -0.491 Sr
```